PBE MnPHCS, relaxed; uncorrected energy = -6.05 eV per atom; offset from the most stable computed form = 1.33 eV per formula unit; SG = No. 44
1.0
-1.055 -0.550 -2.415
-0.784 -2.677 0.952
-13.062 5.415 4.474
Mn P H C S
2 2 2 2 2
Direct
0.000 0.500 0.029
0.500 0.000 0.529
0.000 0.500 0.360
0.500 0.000 0.860
0.000 0.500 0.263
0.500 0.000 0.763
0.000 0.000 0.426
0.500 0.500 0.926
0.000 0.500 0.606
0.500 0.000 0.106



PBE Tm5Mg4Cd, relaxed; uncorrected energy = -3.07 eV per atom; SG = No. 123; calculated formation energy = -1.1 eV per formula unit
1.0
3.750 0.000 0.000
0.000 3.750 0.000
0.000 0.000 18.622
Tm Mg Cd
5 4 1
Direct
0.500 0.500 0.098
0.500 0.500 0.299
0.500 0.500 0.500
0.500 0.500 0.701
0.500 0.500 0.902
0.000 0.000 0.199
0.000 0.000 0.399
0.000 0.000 0.601
0.000 0.000 0.801
0.000 0.000 0.000



PBE Tm2TlCl, relaxed; uncorrected energy = -3.95 eV per atom; SG = No. 166; formation energy from raw total energies = -2.62 eV/f.u.
1.0
-1.112 4.336 1.445
-2.773 2.724 -2.650
-7.581 -0.480 3.262
Tl Tm Cl
1 2 1
Direct
0.500 0.500 0.500
0.111 0.111 0.666
0.889 0.889 0.334
0.000 0.000 0.000



PBE NaSbOs, relaxed; uncorrected energy = -5.39 eV per atom; SG = No. 12; formation energy from raw total energies = 0.51 eV/f.u.
1.0
10.618 0.000 0.191
0.000 4.242 0.000
-1.732 0.000 7.001
Na Sb Os
4 4 4
Direct
0.863 0.000 0.286
0.137 0.000 0.714
0.863 0.500 0.786
0.137 0.500 0.214
0.667 0.000 0.560
0.333 0.000 0.440
0.667 0.500 0.060
0.333 0.500 0.940
0.529 0.000 0.179
0.471 0.000 0.821
0.529 0.500 0.679
0.471 0.500 0.321



PBE Y2TlCl, relaxed; uncorrected energy = -4.71 eV per atom; offset from the most stable computed form = 1.88 eV per formula unit; SG = No. 122; formation energy from raw total energies = -1.68 eV/f.u.
1.0
5.909 0.000 0.000
0.000 5.909 0.000
2.955 2.955 7.659
Y Tl Cl
4 2 2
Direct
0.589 0.125 0.250
0.161 0.625 0.250
0.375 0.411 0.750
0.875 0.839 0.750
0.000 0.000 0.000
0.750 0.250 0.500
0.500 0.500 0.000
0.250 0.750 0.500



PBE ZnCdTeN2, relaxed; uncorrected energy = -3.08 eV per atom; offset from the most stable computed form = 0.00 eV per formula unit; SG = No. 123; formation energy from raw total energies = 6.59 eV/f.u.
1.0
4.110 0.000 0.000
0.000 4.110 0.000
0.000 0.000 6.109
N Zn Te Cd
2 1 1 1
Direct
0.000 0.500 0.000
0.500 0.000 0.000
0.000 0.000 0.000
0.000 0.000 0.500
0.500 0.500 0.500



PBE Ac2Bi3Rh5, relaxed; uncorrected energy = -6.09 eV per atom; offset from the most stable computed form = 0.00 eV per formula unit; SG = No. 72; calculated formation energy = -4.2 eV per formula unit
1.0
-4.348 2.155 -4.122
-7.818 -5.166 0.627
-7.012 4.165 4.657
Ac Bi Rh
4 6 10
Direct
0.157 0.608 0.078
0.657 0.078 0.608
0.843 0.392 0.922
0.343 0.922 0.392
0.399 0.446 0.755
0.899 0.755 0.446
0.601 0.554 0.245
0.101 0.245 0.554
0.250 0.000 0.000
0.750 0.000 0.000
0.355 0.234 0.055
0.855 0.055 0.234
0.645 0.766 0.945
0.145 0.945 0.766
0.538 0.712 0.712
0.462 0.288 0.288
0.750 0.500 0.500
0.250 0.500 0.500
0.962 0.288 0.288
0.038 0.712 0.712



PBE LiHfZr2, relaxed; uncorrected energy = -7.11 eV per atom; offset from the most stable computed form = 0.15 eV per formula unit; SG = No. 166; calculated formation energy = 0.5 eV per formula unit
1.0
3.145 0.000 0.000
1.573 2.724 0.000
1.573 0.908 10.589
Hf Zr Li
1 2 1
Direct
0.500 0.500 0.500
0.753 0.753 0.740
0.247 0.247 0.260
0.000 0.000 0.000